(A)
This record from Alexandria describes a relaxed structure of Tb5Ga2Hg. The functional is PBE-GGA.

POSCAR file:
```
Tb5Ga2Hg
1.0
6.8498 0.0031 0.0000
0.0033 6.8498 0.0000
-3.4264 -3.4263 4.3496
Ga Tb Hg
2 5 1
direct
0.2222 0.7222 0.4444
0.7222 0.2222 0.4444
0.7221 0.7222 0.4444
0.2221 0.2221 0.9442
0.2221 0.7221 0.9442
0.7221 0.2222 0.9443
0.7221 0.7221 0.9443
0.2220 0.2220 0.4440
```

Calculated values
Total magnetization, μB/f.u.: 0.00

---

(B)
This record from Alexandria describes a relaxed structure of Tb5Ga2Hg. The functional is PBE-GGA.

POSCAR file:
```
Tb5Ga2Hg
1.0
-7.5645 -0.7675 -0.0525
0.6838 -6.4704 -3.9344
3.7844 -0.2071 8.3454
Tb Ga Hg
10 4 2
direct
0.8161 0.9739 0.2901
0.1839 0.0261 0.7099
0.5261 0.6839 0.7099
0.4739 0.3161 0.2901
0.6839 0.1839 0.7099
0.0000 0.0000 0.0000
0.0261 0.5261 0.7099
0.9739 0.4739 0.2901
0.5000 0.5000 0.0000
0.3161 0.8161 0.2901
0.8790 0.6210 0.0000
0.3790 0.8790 0.0000
0.6210 0.1210 0.0000
0.1210 0.3790 0.0000
0.7500 0.7500 0.5000
0.2500 0.2500 0.5000
```

Calculated values
Total magnetization, μB/f.u.: 0.00

---

Stability summary - winner: (B); margin: 141 meV per atom.

---

(A)
This record from Alexandria describes a relaxed structure of Tb4Ga2Hg. The functional is PBE-GGA.

POSCAR file:
```
Tb4Ga2Hg
1.0
4.9947 0.0000 0.0000
2.4974 4.3256 0.0000
2.4974 1.4419 9.0781
Hg Ga Tb
1 2 4
direct
0.0000 0.0000 0.0000
0.9026 0.9026 0.2923
0.0974 0.0974 0.7077
0.7956 0.7956 0.6133
0.3812 0.3812 0.8565
0.6188 0.6188 0.1435
0.2044 0.2044 0.3867
```

Calculated values
Total magnetization, μB/f.u.: 0.00

---

(B)
This record from Alexandria describes a relaxed structure of Tb4Ga2Hg. The functional is PBE-GGA.

POSCAR file:
```
Tb4Ga2Hg
1.0
-3.5037 -0.1860 3.7017
-3.1081 -4.0269 0.3694
3.2160 -5.1342 6.2997
Tb Ga Hg
4 2 1
direct
0.1296 0.1296 0.6111
0.8704 0.8704 0.3889
0.6181 0.6181 0.1458
0.3819 0.3819 0.8542
0.2502 0.2502 0.2495
0.7498 0.7498 0.7505
0.0000 0.0000 0.0000
```

Calculated values
Total magnetization, μB/f.u.: 0.00

---

Stability summary - winner: (B); margin: 133 meV per atom.

---

(A)
This record from Alexandria describes a relaxed structure of Tb6Ga2Hg. The functional is PBE-GGA.

POSCAR file:
```
Tb6Ga2Hg
1.0
4.9891 0.0000 -0.1911
0.0000 7.1259 0.0000
-2.2032 -3.5630 7.6422
Ga Tb Hg
2 6 1
direct
0.6672 0.6674 0.3348
0.3328 0.3326 0.6652
0.8311 0.5796 0.6620
0.1689 0.4204 0.3380
0.1689 0.9176 0.3380
0.5000 0.2559 0.0000
0.5000 0.7441 0.0000
0.8311 0.0824 0.6620
0.0000 0.0000 0.0000
```

Calculated values
Total magnetization, μB/f.u.: 0.00

---

(B)
This record from Alexandria describes a relaxed structure of Tb6Ga2Hg. The functional is PBE-GGA.

POSCAR file:
```
Tb6Ga2Hg
1.0
8.0955 -0.0206 -3.0384
-4.2560 7.1378 -2.3891
-0.1697 0.0206 8.6453
Tb Ga Hg
12 4 2
direct
0.7053 0.0287 0.3234
0.2947 0.6181 0.3234
0.0951 0.2750 0.8200
0.1996 0.2456 0.4452
0.8004 0.7544 0.5548
0.2947 0.9713 0.6766
0.5450 0.7250 0.8200
0.7053 0.3819 0.6766
0.9049 0.7250 0.1800
0.1996 0.7544 0.9540
0.4550 0.2750 0.1800
0.8004 0.2456 0.0460
0.3547 0.0000 0.3547
0.5000 0.3781 0.8781
0.6453 0.0000 0.6453
0.5000 0.6219 0.1219
0.0000 0.0000 0.0000
0.0000 0.5000 0.5000
```

Calculated values
Total magnetization, μB/f.u.: 0.00

---

Stability summary - winner: (B); margin: 204 meV per atom.